Entry 1:
DFT (GGA-PBE) results for a relaxed KRhIO2 crystal.

Unit cell a=4.4431 b=4.4431 c=7.0938 alpha=90.00 beta=90.00 gamma=90.00
Site moments in Bohr magnetons follow the coordinates.
Sites, in units of the cell vectors:
O: 0.0000 0.5000 0.0000  -1.11
Rh: 0.5000 0.5000 0.5000  0.52
K: 0.0000 0.0000 0.0000  -0.11
O: 0.5000 0.0000 0.0000  -1.11
I: 0.0000 0.0000 0.5000  0.04

Values from the calculation:
Formation energy without anion corrections ... 24.139 kcal/mol of atoms
Final energy ... -2.936 eV per atom
Relative energy among the computed polymorphs ... 1407 meV/atom
N(E_F) ... 9.43 states/eV/f.u.
Symmetry ... P4/mmm
Volume ... 140.0 Å³/cell

---

Entry 2:
DFT (GGA-PBE) results for a relaxed HgGe2Sb crystal.

Unit cell a=5.0759 b=5.0759 c=5.0759 alpha=60.00 beta=60.00 gamma=60.00
Sites, in units of the cell vectors:
Ge: 0.2500 0.2500 0.2500
Hg: 0.5000 0.5000 0.5000
Ge: 0.7500 0.7500 0.7500
Sb: 0.0000 0.0000 0.0000

Values from the calculation:
Formation energy without anion corrections ... 7.412 kcal/mol of atoms
Final energy ... -3.093 eV per atom
Relative energy among the computed polymorphs ... 113 meV/atom
N(E_F) ... 2.01 states/eV/f.u.
Symmetry ... Fm-3m
Volume ... 92.5 Å³/cell

---

Entry 3:
DFT (GGA-PBE) results for a relaxed Sn3HgBi3 crystal.

Unit cell a=8.6021 b=8.6021 c=8.6021 alpha=90.00 beta=90.00 gamma=90.00
Sites, in units of the cell vectors:
Sn: 0.7500 0.0000 0.5000
Sn: 0.0000 0.5000 0.7500
Bi: 0.5000 0.0000 0.2500
Sn: 0.0000 0.5000 0.2500
Bi: 0.5000 0.0000 0.7500
Bi: 0.2500 0.5000 0.0000
Hg: 0.0000 0.0000 0.0000
Sn: 0.5000 0.2500 0.0000
Sn: 0.2500 0.0000 0.5000
Bi: 0.0000 0.7500 0.5000
Sn: 0.5000 0.7500 0.0000
Bi: 0.0000 0.2500 0.5000
Hg: 0.5000 0.5000 0.5000
Bi: 0.7500 0.5000 0.0000

Values from the calculation:
Final energy ... -3.200 eV per atom
N(E_F) ... 5.53 states/eV/f.u.
Symmetry ... Pm-3n
Volume ... 636.5 Å³/cell

---

Entry 4:
DFT (GGA-PBE) results for a relaxed Dy2AlIr3 crystal.

Unit cell a=5.1415 b=5.1415 c=5.1415 alpha=65.86 beta=65.86 gamma=65.86
Sites, in units of the cell vectors:
Al: 0.0000 0.0000 0.0000
Ir: 0.0000 0.0000 0.5000
Dy: 0.3726 0.3726 0.3726
Dy: 0.6274 0.6274 0.6274
Ir: 0.0000 0.5000 0.0000
Ir: 0.5000 0.0000 0.0000

Values from the calculation:
Final energy ... -7.514 eV per atom
Relative energy among the computed polymorphs ... 0 meV/atom
N(E_F) ... 2.82 states/eV/f.u.
Symmetry ... R-3m
Volume ... 108.3 Å³/cell